## TiTlBiO4 (PBE)

Data for TiTlBiO4 after structural relaxation.

```
data_TiTlBiO4
_chemical_formula_sum 'Ti2 Tl2 Bi2 O8'
_symmetry_space_group_name_H-M 'P 1 21/m 1'
_symmetry_Int_Tables_number 11
_cell_length_a 6.4408
_cell_length_b 6.0748
_cell_length_c 7.5366
_cell_angle_alpha 90.00
_cell_angle_beta 103.77
_cell_angle_gamma 90.00
loop_
_symmetry_equiv_pos_as_xyz
'x,y,z'
'-x,-y,-z'
'-x,y+1/2,-z'
'x,-y+1/2,z'
loop_
_atom_site_label
_atom_site_fract_x
_atom_site_fract_y
_atom_site_fract_z
_atom_site_occupancy
Ti1 0.2140 0.2500 0.1534 1
Tl1 0.1796 0.7500 0.4189 1
Bi1 0.2947 0.7500 0.9531 1
O1 0.0061 0.2500 0.9402 1
O2 0.0630 0.2500 0.3236 1
O3 0.3993 0.0120 0.1556 1
```

Its total energy is -6.69 eV per atom. As for the magnetic moment: 0.00 μB per formula unit.